# Sm8In2Cu, optimized geometry, DFT PBE-GGA
data_Sm8In2Cu
_space_group_name_H-M_alt 'C 1 2/m 1'
_space_group_IT_number 12
_cell_length_a 19.011
_cell_length_b 5.228
_cell_length_c 6.834
_cell_angle_alpha 90.00
_cell_angle_beta 104.17
_cell_angle_gamma 90.00
loop_
_space_group_symop_operation_xyz
'x,y,z'
'-x,-y,-z'
'-x,y,-z'
'x,-y,z'
'x+1/2,y+1/2,z'
'-x+1/2,-y+1/2,-z'
'-x+1/2,y+1/2,-z'
'x+1/2,-y+1/2,z'
loop_
_atom_site_label
_atom_site_fract_x
_atom_site_fract_y
_atom_site_fract_z
Sm1 0.014 0.000 0.276
Sm2 0.092 0.500 0.960
Sm3 0.149 0.500 0.477
Sm4 0.208 0.000 0.798
In1 0.183 0.000 0.245
Cu1 0.000 0.500 0.500
# ΔH_f (0 K): -0.182 eV/atom